Density functional theory data (PBE) for a geometry-optimized NaLi2LaAu4 structure.

The total magnetization is 0.00 μB per atom. The density of states at the Fermi level is 6.982 states/eV per cell. The energy of formation is -54 kJ per mole of atoms.

It has space group R-3m (No. 166, hexagonal axes), with a = 4.5967 Å, b = 4.5967 Å, c = 28.4148 Å, α = 90.00°, β = 90.00° and γ = 120.00°. The asymmetric unit holds Na at (0.0000, 0.0000, 0.0000), Li at (0.0000, 0.0000, 0.2612), La at (0.0000, 0.0000, 0.5000), Au at (0.0000, 0.0000, 0.1059) and Au at (0.0000, 0.0000, 0.3897).

Density functional theory data (PBE) for a geometry-optimized Na2LiLaAu structure.

The total magnetization is 0.00 μB per atom. The density of states at the Fermi level is 4.692 states/eV per cell. The energy of formation is 29 kJ per mole of atoms.

It has space group P4/mmm (No. 123), with a = 4.854 Å, b = 4.854 Å, c = 6.249 Å, α = 90.00°, β = 90.00° and γ = 90.00°. The asymmetric unit holds Na at (0.000, 0.500, 0.000), Li at (0.000, 0.000, 0.000), La at (0.000, 0.000, 0.500) and Au at (0.500, 0.500, 0.500).

Density functional theory data (PBE) for a geometry-optimized Li2LaNdAu2 structure.

The total magnetization is 0.00 μB per atom. The density of states at the Fermi level is 6.363 states/eV per cell. The energy of formation is -51 kJ per mole of atoms.

It has space group P-3m1 (No. 164), with a = 4.6816 Å, b = 4.6816 Å, c = 7.2706 Å, α = 90.00°, β = 90.00° and γ = 120.00°. The asymmetric unit holds Li at (0.3333, 0.6667, 0.2635), La at (0.0000, 0.0000, 0.0000), Nd at (0.0000, 0.0000, 0.5000) and Au at (0.3333, 0.6667, 0.7418).

Density functional theory data (PBE) for a geometry-optimized LiLaNdAu structure.

The total magnetization is 0.04 μB per atom. The density of states at the Fermi level is 21.525 states/eV per cell. The energy of formation is -31 kJ per mole of atoms.

It has space group F-43m (No. 216), with a = 7.538 Å, b = 7.538 Å, c = 7.538 Å, α = 90.00°, β = 90.00° and γ = 90.00°. The asymmetric unit holds Li at (0.000, 0.000, 0.000), La at (0.250, 0.250, 0.250), Nd at (0.250, 0.250, 0.750) and Au at (0.000, 0.000, 0.500).

Density functional theory data (PBE) for a geometry-optimized LiLa4AuO8 structure.

The total magnetization is 0.00 μB per atom. Its energy relative to the elements, uncorrected is -2754 meV/atom. The density of states at the Fermi level is 0.000 states/eV per cell.

It has space group Cmmm (No. 65), with a = 5.786 Å, b = 12.545 Å, c = 5.786 Å, α = 90.00°, β = 90.00° and γ = 90.00°. The asymmetric unit holds Li at (0.000, 0.000, 0.000), La at (0.000, 0.151, 0.500), La at (0.000, 0.350, 0.000), Au at (0.000, 0.500, 0.500), O at (0.249, 0.500, 0.251) and O at (0.250, 0.250, 0.249).

Density functional theory data (PBE) for a geometry-optimized LiLa2AuO structure.

The total magnetization is 0.00 μB per atom. Its energy relative to the elements, uncorrected is -1456 meV/atom. The density of states at the Fermi level is 3.178 states/eV per cell.

It has space group P4/mmm (No. 123), with a = 5.105 Å, b = 5.105 Å, c = 4.061 Å, α = 90.00°, β = 90.00° and γ = 90.00°. The asymmetric unit holds Li at (0.000, 0.000, 0.000), La at (0.000, 0.500, 0.500), Au at (0.500, 0.500, 0.000) and O at (0.000, 0.000, 0.500).

Density functional theory data (PBE) for a geometry-optimized Li2LaAuO4 structure.

The total magnetization is 0.00 μB per atom. Its energy relative to the elements, uncorrected is -1579 meV/atom. The density of states at the Fermi level is 4.882 states/eV per cell.

It has space group I-42m (No. 121), with a = 5.552 Å, b = 5.552 Å, c = 6.390 Å, α = 90.00°, β = 90.00° and γ = 90.00°. The asymmetric unit holds Li at (0.000, 0.500, 0.250), La at (0.000, 0.000, 0.000), Au at (0.000, 0.000, 0.500) and O at (0.231, 0.231, 0.703).

Density functional theory data (PBE) for a geometry-optimized LiLaPAu structure.

The total magnetization is 0.00 μB per atom. The energy of formation is -79 kJ per mole of atoms.

It has space group F-43m (No. 216), with a = 7.048 Å, b = 7.048 Å, c = 7.048 Å, α = 90.00°, β = 90.00° and γ = 90.00°. The asymmetric unit holds Li at (0.000, 0.000, 0.000), La at (0.000, 0.000, 0.500), P at (0.250, 0.250, 0.250) and Au at (0.250, 0.250, 0.750).

Density functional theory data (PBE) for a geometry-optimized Li2LaPbAu2 structure.

The total magnetization is 0.00 μB per atom. The density of states at the Fermi level is 2.874 states/eV per cell. The energy of formation is -56 kJ per mole of atoms.

It has space group P-3m1 (No. 164), with a = 4.6785 Å, b = 4.6785 Å, c = 6.9267 Å, α = 90.00°, β = 90.00° and γ = 120.00°. The asymmetric unit holds Li at (0.3333, 0.6667, 0.1640), La at (0.0000, 0.0000, 0.5000), Pb at (0.0000, 0.0000, 0.0000) and Au at (0.3333, 0.6667, 0.7525).

Density functional theory data (PBE) for a geometry-optimized LiLa2PdAu structure.

The total magnetization is 0.00 μB per atom. The density of states at the Fermi level is 4.270 states/eV per cell. The energy of formation is -10 kJ per mole of atoms.

It has space group P4/mmm (No. 123), with a = 5.515 Å, b = 5.515 Å, c = 4.183 Å, α = 90.00°, β = 90.00° and γ = 90.00°. The asymmetric unit holds Li at (0.000, 0.000, 0.000), La at (0.000, 0.500, 0.000), Pd at (0.000, 0.000, 0.500) and Au at (0.500, 0.500, 0.500).

Density functional theory data (PBE) for a geometry-optimized Li3La2Pd12Au structure.

The total magnetization is 0.00 μB per atom. The density of states at the Fermi level is 30.599 states/eV per cell. The energy of formation is -27 kJ per mole of atoms.

It has space group R-3m (No. 166, hexagonal axes), with a = 6.4553 Å, b = 6.4553 Å, c = 28.4338 Å, α = 90.00°, β = 90.00° and γ = 120.00°. The asymmetric unit holds Li at (0.0000, 0.5000, 0.0000), La at (0.0000, 0.0000, 0.1328), Pd at (0.0463, 0.5231, 0.8902), Pd at (0.0560, 0.5280, 0.6233) and Au at (0.0000, 0.0000, 0.5000).

Density functional theory data (PBE) for a geometry-optimized LiLaPm2Au4 structure.

The total magnetization is 0.00 μB per atom. The density of states at the Fermi level is 16.379 states/eV per cell. The energy of formation is -69 kJ per mole of atoms.

It has space group R-3m (No. 166, hexagonal axes), with a = 5.1295 Å, b = 5.1295 Å, c = 25.5044 Å, α = 90.00°, β = 90.00° and γ = 120.00°. The asymmetric unit holds Li at (0.0000, 0.0000, 0.0000), La at (0.0000, 0.0000, 0.5000), Pm at (0.0000, 0.0000, 0.2614), Au at (0.0000, 0.0000, 0.1137) and Au at (0.0000, 0.0000, 0.3797).

Copy entry 8 word for word.
Density functional theory data (PBE) for a geometry-optimized LiLaPAu structure.

The total magnetization is 0.00 μB per atom. The energy of formation is -79 kJ per mole of atoms.

It has space group F-43m (No. 216), with a = 7.048 Å, b = 7.048 Å, c = 7.048 Å, α = 90.00°, β = 90.00° and γ = 90.00°. The asymmetric unit holds Li at (0.000, 0.000, 0.000), La at (0.000, 0.000, 0.500), P at (0.250, 0.250, 0.250) and Au at (0.250, 0.250, 0.750).